(1)
DFT (PBE) results for a relaxed RuW2SN crystal.

Calculated values
* energy: -39.015 eV/f.u.
* formation energy without anion corrections: 166.35 kJ per mole of atoms
* density: 9.84 Mg/m³

Lattice parameters (Å, degrees): 4.8851 3.6412 4.8851 90.00 90.00 90.00
Closest atoms and distances in Å follow each position.
Positions (direct):
S (0.5000, 0.5000, 0.5000)  8 W 3.05
W (0.5000, 0.0000, 0.0000)  2 Ru 2.44
Ru (0.0000, 0.0000, 0.0000)  2 N 1.82
N (0.0000, 0.5000, 0.0000)  2 Ru 1.82
W (0.0000, 0.0000, 0.5000)  2 Ru 2.44

---

(2)
DFT (PBE) results for a relaxed Ba10Tl3In3 crystal.

Calculated values
* energy of formation: -0.28 eV/atom
* energy: -39.054 eV/f.u.
* density: 5.29 Mg/m³

Lattice parameters (Å, degrees): 7.2379 10.8017 10.8017 120.00 90.00 90.00
Closest atoms and distances in Å follow each position.
Positions (direct):
Ba (0.0000, 0.0000, 0.2674)  3 Tl 3.61-3.80, 2 In 3.89
Ba (0.7491, 0.3333, 0.6667)  2 Ba 3.61-3.63, 3 In 3.77, 3 Tl 3.77
Tl (0.0000, 0.3981, 0.3981)  9 Ba 3.61-3.89
Ba (0.0000, 0.7326, 0.7326)  3 Tl 3.61-3.80, 2 In 3.89
Tl (0.0000, 0.0000, 0.6019)  9 Ba 3.61-3.89
Ba (0.0000, 0.2674, 0.0000)  3 Tl 3.61-3.80, 2 In 3.89
Ba (0.2509, 0.3333, 0.6667)  2 Ba 3.61-3.63, 3 In 3.77, 3 Tl 3.77
Ba (0.7491, 0.6667, 0.3333)  2 Ba 3.61-3.63, 3 In 3.77, 3 Tl 3.77
Tl (0.0000, 0.6019, 0.0000)  9 Ba 3.61-3.89
Ba (0.5000, 0.7332, 0.0000)  3 In 3.62-3.80, 2 Tl 3.89
Ba (0.5000, 0.2668, 0.2668)  3 In 3.62-3.80, 2 Tl 3.89
In (0.5000, 0.3982, 0.0000)  9 Ba 3.62-3.89
In (0.5000, 0.0000, 0.3982)  9 Ba 3.62-3.89
Ba (0.5000, 0.0000, 0.7332)  3 In 3.62-3.80, 2 Tl 3.89
Ba (0.2509, 0.6667, 0.3333)  2 Ba 3.61-3.63, 3 In 3.77, 3 Tl 3.77
In (0.5000, 0.6018, 0.6018)  9 Ba 3.62-3.89

---

(3)
DFT (PBE) results for a relaxed CdSe2S crystal.

Calculated values
* energy: -10.066 eV/f.u.
* formation energy without anion corrections: 46.94 kJ per mole of atoms
* density: 6.14 Mg/m³

Lattice parameters (Å, degrees): 4.8721 4.8721 4.8721 60.00 60.00 60.00
Closest atoms and distances in Å follow each position.
Positions (direct):
Se (0.2500, 0.2500, 0.2500)  4 Cd 2.98, 4 S 2.98
Cd (0.5000, 0.5000, 0.5000)  8 Se 2.98
Se (0.7500, 0.7500, 0.7500)  4 Cd 2.98, 4 S 2.98
S (0.0000, 0.0000, 0.0000)  8 Se 2.98

---

(4)
DFT (PBE) results for a relaxed SrPbSe3 crystal.

Calculated values
* energy: -16.429 eV/f.u.
* formation energy without anion corrections: -11.30 kJ per mole of atoms
* density: 4.79 Mg/m³

Lattice parameters (Å, degrees): 5.6927 5.6927 5.6927 90.00 90.00 90.00
Closest atoms and distances in Å follow each position.
Positions (direct):
Pb (0.5000, 0.5000, 0.5000)  12 Se 4.03
Se (0.5000, 0.0000, 0.0000)  2 Sr 2.85
Se (0.0000, 0.5000, 0.0000)  2 Sr 2.85
Sr (0.0000, 0.0000, 0.0000)  6 Se 2.85
Se (0.0000, 0.0000, 0.5000)  2 Sr 2.85

---

(5)
DFT (PBE) results for a relaxed TlCr2Si crystal.

Calculated values
* energy: -24.364 eV/f.u.
* formation energy without anion corrections: 64.46 kJ per mole of atoms
* density: 8.05 Mg/m³

Lattice parameters (Å, degrees): 4.6137 4.6137 4.6137 60.00 60.00 60.00
Closest atoms and distances in Å follow each position.
Positions (direct):
Cr (0.2500, 0.2500, 0.2500)  4 Si 2.83, 4 Cr 2.83
Tl (0.7500, 0.7500, 0.7500)  4 Cr 2.83, 4 Si 2.83
Cr (0.0000, 0.0000, 0.0000)  4 Cr 2.83, 4 Tl 2.83
Si (0.5000, 0.5000, 0.5000)  4 Tl 2.83, 4 Cr 2.83

---

(6)
DFT (PBE) results for a relaxed LiHf2TiPt crystal.

Calculated values
* energy of formation: 0.36 eV/atom
* energy: -33.946 eV/f.u.
* density: 7.92 Mg/m³

Lattice parameters (Å, degrees): 5.0996 4.8936 5.0996 90.00 90.00 90.00
Closest atoms and distances in Å follow each position.
Positions (direct):
Hf (0.5000, 0.0000, 0.0000)  2 Pt 2.55
Hf (0.0000, 0.0000, 0.5000)  2 Pt 2.55
Pt (0.0000, 0.0000, 0.0000)  2 Ti 2.45, 4 Hf 2.55
Li (0.5000, 0.5000, 0.5000)  8 Hf 3.53, 4 Ti 3.61
Ti (0.0000, 0.5000, 0.0000)  2 Pt 2.45

---

(7)
DFT (PBE) results for a relaxed SrNiW2 crystal.

Calculated values
* energy of formation: 1.27 eV/atom
* energy: -28.297 eV/f.u.
* density: 8.38 Mg/m³

Lattice parameters (Å, degrees): 4.8533 4.8533 9.3018 74.88 74.88 90.00
Closest atoms and distances in Å follow each position.
Positions (direct):
W (0.3777, 0.6250, 0.2500)  2 W 2.43, 2 Ni 2.48
W (0.3723, 0.1250, 0.2500)  2 W 2.43, 2 Ni 2.48
Sr (0.7500, 0.2500, 0.5000)  4 Ni 3.43, 8 W 3.46-3.48
Sr (0.0000, 0.0000, 0.0000)  4 Ni 3.43, 8 W 3.46-3.48
Ni (0.2500, 0.7500, 0.5000)  4 W 2.48
W (0.3750, 0.6277, 0.7500)  2 W 2.43, 2 Ni 2.48
W (0.8750, 0.6223, 0.7500)  2 W 2.43, 2 Ni 2.48
Ni (0.5000, 0.5000, 0.0000)  4 W 2.48

---

(8)
DFT (PBE) results for a relaxed LiTm7Cd4 crystal.

Calculated values
* energy of formation: 0.00 eV/atom
* energy: -36.832 eV/f.u.
* density: 8.43 Mg/m³

Lattice parameters (Å, degrees): 5.5316 8.7824 7.7796 69.52 69.17 71.64
Closest atoms and distances in Å follow each position.
Positions (direct):
Tm (0.8028, 0.8769, 0.5174)  4 Cd 3.38-3.76, 7 Tm 3.41-3.67, 1 Li 3.62
Tm (0.7509, 0.2862, 0.2121)  4 Cd 2.95-3.11, 1 Li 3.17
Tm (0.9232, 0.4248, 0.7287)  3 Cd 3.02-3.15, 1 Tm 3.22
Cd (0.5437, 0.2986, 0.6140)  4 Tm 2.95-3.21, 1 Cd 3.02
Cd (0.3210, 0.3477, 0.0104)  5 Tm 2.92-3.11, 1 Cd 3.02
Cd (0.6790, 0.6523, 0.9896)  5 Tm 2.92-3.11, 1 Cd 3.02
Tm (0.5000, 0.0000, 0.0000)  2 Li 2.77, 2 Cd 2.92
Tm (0.2491, 0.7138, 0.7879)  4 Cd 2.95-3.11, 1 Li 3.17
Cd (0.4563, 0.7014, 0.3860)  4 Tm 2.95-3.21, 1 Cd 3.02
Tm (0.0768, 0.5752, 0.2713)  3 Cd 3.02-3.15, 1 Tm 3.22
Tm (0.1972, 0.1231, 0.4826)  4 Cd 3.38-3.76, 7 Tm 3.41-3.67, 1 Li 3.62
Li (0.0000, 0.0000, 0.0000)  2 Tm 2.77

---

(9)
DFT (PBE) results for a relaxed Zr2AlGa4 crystal.

Calculated values
* energy of formation: -0.41 eV/atom
* energy: -35.838 eV/f.u.
* density: 6.13 Mg/m³

Lattice parameters (Å, degrees): 5.7123 5.7123 5.7128 119.81 119.81 90.29
Closest atoms and distances in Å follow each position.
Positions (direct):
Zr (0.2858, 0.7856, 0.5714)  2 Al 2.86, 8 Ga 2.86
Ga (0.7859, 0.7859, 0.0717)  4 Ga 2.86, 2 Al 2.86, 4 Zr 2.86
Zr (0.7856, 0.2858, 0.5714)  2 Al 2.86, 8 Ga 2.86
Al (0.7858, 0.7858, 0.5715)  8 Ga 2.86, 4 Zr 2.86
Ga (0.2856, 0.2856, 0.0712)  4 Ga 2.86, 2 Al 2.86, 4 Zr 2.86
Ga (0.2857, 0.7856, 0.0714)  4 Ga 2.86, 4 Zr 2.86, 2 Al 2.86
Ga (0.7856, 0.2857, 0.0714)  4 Ga 2.86, 4 Zr 2.86, 2 Al 2.86

---

(10)
DFT (PBE) results for a relaxed ZrCu2Se2 crystal.

Calculated values
* energy: -25.713 eV/f.u.
* formation energy without anion corrections: -38.67 kJ per mole of atoms
* density: 7.32 Mg/m³

Lattice parameters (Å, degrees): 3.5181 3.5181 7.3298 76.11 76.11 90.00
Closest atoms and distances in Å follow each position.
Positions (direct):
Cu (0.7500, 0.2500, 0.5000)  4 Cu 2.49, 4 Se 2.63
Zr (0.0000, 0.0000, 0.0000)  8 Se 2.90
Se (0.6082, 0.6082, 0.7835)  4 Cu 2.63, 4 Zr 2.90
Cu (0.2500, 0.7500, 0.5000)  4 Cu 2.49, 4 Se 2.63
Se (0.3918, 0.3918, 0.2165)  4 Cu 2.63, 4 Zr 2.90

---

(11)
DFT (PBE) results for a relaxed Sm2TmHg3 crystal.

Calculated values
* energy of formation: -0.47 eV/atom
* energy: -17.645 eV/f.u.
* density: 11.20 Mg/m³

Lattice parameters (Å, degrees): 3.7345 3.7345 11.3927 90.00 90.00 90.00
Closest atoms and distances in Å follow each position.
Positions (direct):
Tm (0.5000, 0.5000, 0.5000)  8 Hg 3.17
Hg (0.0000, 0.0000, 0.0000)  8 Sm 3.28
Hg (0.0000, 0.0000, 0.3455)  4 Tm 3.17, 4 Sm 3.31, 1 Hg 3.52
Sm (0.5000, 0.5000, 0.1705)  8 Hg 3.28-3.31
Hg (0.0000, 0.0000, 0.6545)  4 Tm 3.17, 4 Sm 3.31, 1 Hg 3.52
Sm (0.5000, 0.5000, 0.8295)  8 Hg 3.28-3.31

---

(12)
DFT (PBE) results for a relaxed In2CoRh crystal.

Calculated values
* energy of formation: 0.23 eV/atom
* energy: -19.004 eV/f.u.
* density: 8.98 Mg/m³

Lattice parameters (Å, degrees): 9.0574 9.0574 9.0574 19.49 19.49 19.49
Closest atoms and distances in Å follow each position.
Positions (direct):
Rh (0.5077, 0.5077, 0.5077)  3 Co 2.55, 3 In 2.81
In (0.9901, 0.9901, 0.9901)  3 Co 2.77, 6 In 3.07
In (0.7589, 0.7589, 0.7589)  3 Rh 2.81, 6 In 3.07
Co (0.2433, 0.2433, 0.2433)  3 Rh 2.55, 3 In 2.77